This record from Alexandria describes an optimized crystal structure of LaScGe2Rh5. The functional is PBE.

Unit cell a=4.6404 b=4.6404 c=7.4847 alpha=90.00 beta=90.00 gamma=90.00
Positions (direct):
La1 0.0000 0.0000 0.0000
Sc1 0.0000 0.0000 0.5000
Ge1 0.5000 0.5000 0.3328
Ge2 0.5000 0.5000 0.6672
Rh1 0.0000 0.5000 0.2735
Rh2 0.0000 0.5000 0.7265
Rh3 0.5000 0.0000 0.2735
Rh4 0.5000 0.0000 0.7265
Rh5 0.5000 0.5000 0.0000

Computed properties:
The calculation puts the electronic total energy at -6.92 eV per atom. The calculation puts the formation energy from the elements at -4.99 eV/f.u. As for the symmetry: No. 123. The calculation puts the volume at 161.2 Å³/cell.